The following is a PBE calculation of an optimized crystal structure of LaHo2Sb, from Alexandria via LeMat-Bulk.

The calculation puts the density of states at the Fermi level at 5.9 states/eV/f.u. The total energy comes out at -5.024 eV/atom. The energy above the most stable polymorph in this dataset comes out at 0.032 eV per atom. The calculation puts the raw formation energy at -473 meV per atom.

Lattice parameters (Å, degrees): 3.9653 3.9653 7.5340 90.00 90.00 90.00
Sites, in units of the cell vectors:
La1 0.0000 0.0000 0.0000
Ho1 0.5000 0.5000 0.2878
Ho2 0.5000 0.5000 0.7122
Sb1 0.0000 0.0000 0.5000